Entry from Alexandria: crystalline TbMnSeO2 at its relaxed geometry (PBE+U).

Final energy ... -7.103 eV/atom

a = 3.8433 Å, b = 3.8433 Å, c = 12.2631 Å
α = 90.00°, β = 90.00°, γ = 90.00°
Fractional positions:
Tb  0.0000  0.0000  0.0000
Tb  0.5000  0.5000  0.5000
Mn  0.0000  0.0000  0.6413
Mn  0.5000  0.5000  0.1413
Se  0.0000  0.0000  0.3867
Se  0.5000  0.5000  0.8867
O  0.0000  0.5000  0.1098
O  0.0000  0.5000  0.6098
O  0.5000  0.0000  0.1098
O  0.5000  0.0000  0.6098